1.
Density functional theory data (GGA-PBE) for Tl2InTe after structural relaxation.

a b c (Å): 5.0395 5.0417 5.0054
angles (deg): 90.00 90.00 90.00
With the nearest neighbours (Å) after each atom.
Fractional coordinates of all 4 atoms:
Tl: 0.5000 0.5000 0.0000  4 Te 3.55, 4 In 3.55, 4 Tl 3.56
In: 0.5000 0.0000 0.5000  8 Tl 3.55, 4 Te 3.56
Tl: 0.0000 0.0000 0.0000  4 In 3.55, 4 Te 3.55, 4 Tl 3.56
Te: 0.0000 0.5000 0.5000  8 Tl 3.55, 4 In 3.56

Values from the calculation:
Crystal system: tetragonal
E: -2.809 eV per atom
Magnetic moment: 0.00 μB/f.u.
DOS at the Fermi energy: 0.282 states/eV/atom

---

2.
Density functional theory data (GGA-PBE) for Tl9InTe6 after structural relaxation.

a b c (Å): 8.9817 8.9821 9.1475
angles (deg): 119.40 119.40 90.00
With the nearest neighbours (Å) after each atom.
Fractional coordinates of all 16 atoms:
Tl: 0.1960 0.6951 0.6850  4 Te 3.21-3.58, 1 Tl 3.58
Tl: 0.5000 0.5000 0.0000  6 Te 3.52-3.54
Tl: 0.5110 0.0101 0.3150  4 Te 3.21-3.58, 1 Tl 3.58
Te: 0.2315 0.2315 0.4630  1 In 3.05
Te: 0.7685 0.7685 0.5370  1 In 3.05
In: 0.0000 0.0000 0.0000  6 Te 3.05-3.22
Tl: 0.6951 0.4890 0.6850  4 Te 3.21-3.58, 1 Tl 3.58
Tl: 0.3049 0.5110 0.3150  4 Te 3.21-3.58, 1 Tl 3.58
Tl: 0.4890 0.9899 0.6850  4 Te 3.21-3.58, 1 Tl 3.58
Te: 0.8518 0.3261 0.0000  7 Tl 3.21-3.55, 1 In 3.22
Tl: 0.0101 0.8040 0.3150  4 Te 3.21-3.58, 1 Tl 3.58
Te: 0.3261 0.1482 0.0000  7 Tl 3.21-3.55, 1 In 3.22
Te: 0.1482 0.6739 0.0000  7 Tl 3.21-3.55, 1 In 3.22
Te: 0.6739 0.8518 0.0000  7 Tl 3.21-3.55, 1 In 3.22
Tl: 0.9899 0.1960 0.6850  4 Te 3.21-3.58, 1 Tl 3.58
Tl: 0.8040 0.3049 0.3150  4 Te 3.21-3.58, 1 Tl 3.58

Values from the calculation:
Crystal system: tetragonal
E: -2.979 eV per atom
Magnetic moment: 0.00 μB/f.u.
DOS at the Fermi energy: 0.091 states/eV/atom

---

3.
Density functional theory data (GGA-PBE) for Tl2InTe after structural relaxation.

a b c (Å): 5.7518 3.2658 7.2302
angles (deg): 65.83 90.00 90.00
With the nearest neighbours (Å) after each atom.
Fractional coordinates of all 4 atoms:
Tl: 0.0000 0.8119 0.0027  4 Tl 3.27-3.60, 2 Te 3.46, 2 In 3.49
Tl: 0.0000 0.6881 0.4973  4 Tl 3.27-3.60, 2 Te 3.46, 2 In 3.49
In: 0.5000 0.2500 0.2500  2 In 3.27, 2 Te 3.30, 4 Tl 3.49
Te: 0.5000 0.7500 0.7500  2 Te 3.27, 2 In 3.30, 4 Tl 3.46

Values from the calculation:
Crystal system: monoclinic
E: -2.714 eV per atom
Magnetic moment: 0.00 μB/f.u.
DOS at the Fermi energy: 0.375 states/eV/atom

---

4.
Density functional theory data (GGA-PBE) for Tl3In3Te after structural relaxation.

a b c (Å): 8.3549 8.3549 8.3549
angles (deg): 90.00 90.00 90.00
With the nearest neighbours (Å) after each atom.
Fractional coordinates of all 14 atoms:
In: 0.0000 0.5000 0.7500  4 Tl 2.95
Tl: 0.2500 0.5000 0.0000  4 In 2.95
Tl: 0.0000 0.2500 0.5000  4 In 2.95
In: 0.2500 0.0000 0.5000  4 Tl 2.95
In: 0.5000 0.7500 0.0000  4 Tl 2.95
In: 0.5000 0.2500 0.0000  4 Tl 2.95
In: 0.7500 0.0000 0.5000  4 Tl 2.95
Tl: 0.5000 0.0000 0.7500  4 In 2.95
Tl: 0.0000 0.7500 0.5000  4 In 2.95
Te: 0.0000 0.0000 0.0000  12 In 4.67, 12 Tl 4.67
Tl: 0.7500 0.5000 0.0000  4 In 2.95
Tl: 0.5000 0.0000 0.2500  4 In 2.95
In: 0.0000 0.5000 0.2500  4 Tl 2.95
Te: 0.5000 0.5000 0.5000  12 Tl 4.67, 12 In 4.67

Values from the calculation:
Crystal system: cubic
E: -2.159 eV per atom
Magnetic moment: 0.00 μB/f.u.
DOS at the Fermi energy: 0.962 states/eV/atom

---

5.
Density functional theory data (GGA-PBE) for Tl4InTe after structural relaxation.

a b c (Å): 6.5576 6.5576 6.5576
angles (deg): 60.00 60.00 60.00
With the nearest neighbours (Å) after each atom.
Fractional coordinates of all 6 atoms:
Te: 0.0000 0.0000 0.0000  12 Tl 3.84, 4 In 4.02
Tl: 0.3749 0.3749 0.3749  6 Tl 3.28
Tl: 0.3749 0.3749 0.8754  6 Tl 3.28
Tl: 0.3749 0.8754 0.3749  6 Tl 3.28
Tl: 0.8754 0.3749 0.3749  6 Tl 3.28
In: 0.7500 0.7500 0.7500  12 Tl 3.85, 4 Te 4.02

Values from the calculation:
Crystal system: cubic
E: -2.506 eV per atom
Magnetic moment: 0.00 μB/f.u.
DOS at the Fermi energy: 0.242 states/eV/atom

---

6.
Density functional theory data (GGA-PBE) for TlInTe after structural relaxation.

a b c (Å): 6.5892 6.5902 4.0428
angles (deg): 72.12 72.15 35.73
With the nearest neighbours (Å) after each atom.
Fractional coordinates of all 3 atoms:
In: 0.9749 0.9749 0.0251  4 Te 3.22, 1 Tl 3.56
Te: 0.3503 0.3503 0.6497  4 In 3.22, 4 Tl 3.54
Tl: 0.6748 0.6748 0.3252  5 Te 3.54-3.85, 5 In 3.56-3.72

Values from the calculation:
Crystal system: tetragonal
E: -2.914 eV per atom
Magnetic moment: 0.00 μB/f.u.
DOS at the Fermi energy: 0.607 states/eV/atom

---

7.
Density functional theory data (GGA-PBE) for TlIn2Te after structural relaxation.

a b c (Å): 3.4703 3.4703 10.2396
angles (deg): 90.00 90.00 106.02
With the nearest neighbours (Å) after each atom.
Fractional coordinates of all 4 atoms:
Te: 0.0000 0.0000 0.4871  2 In 3.17, 2 Tl 3.39, 4 Te 3.47
In: 0.0000 0.0000 0.0112  6 In 3.24-3.47, 2 Tl 3.41
Tl: 0.5000 0.5000 0.7482  2 Te 3.39, 2 In 3.41, 4 Tl 3.47
In: 0.5000 0.5000 0.2536  2 Te 3.17, 6 In 3.24-3.47

Values from the calculation:
Crystal system: orthorhombic
E: -2.736 eV per atom
Magnetic moment: 0.00 μB/f.u.
DOS at the Fermi energy: 0.463 states/eV/atom

---

8.
Density functional theory data (GGA-PBE) for Tl2In2Te after structural relaxation.

a b c (Å): 4.3582 4.3582 9.1219
angles (deg): 76.18 76.18 90.00
With the nearest neighbours (Å) after each atom.
Fractional coordinates of all 5 atoms:
In: 0.4113 0.4113 0.1775  1 In 3.05
Te: 0.0000 0.0000 0.0000  8 In 3.44
Tl: 0.2500 0.7500 0.5000  4 Tl 3.08
In: 0.5887 0.5887 0.8225  1 In 3.05
Tl: 0.7500 0.2500 0.5000  4 Tl 3.08

Values from the calculation:
Crystal system: tetragonal
E: -2.631 eV per atom
Magnetic moment: 0.00 μB/f.u.
DOS at the Fermi energy: 0.522 states/eV/atom

---

Question: Among the records above, which one has the lowest DOS at the Fermi energy?
Answer: Tl9InTe6

---

Question: Which formula does entry 3 have?
Answer: Tl2InTe